Density functional theory data (PBE) for Ga2Ag9Hg after structural relaxation.

Values from the calculation:
Symmetry: P4/mmm, No. 123

```
data_Ga2Ag9Hg
_space_group_name_H-M_alt 'P 1'
_space_group_IT_number 1
_cell_length_a 4.171
_cell_length_b 4.171
_cell_length_c 12.366
_cell_angle_alpha 90.00
_cell_angle_beta 90.00
_cell_angle_gamma 90.00
loop_
_space_group_symop_operation_xyz
'x,y,z'
loop_
_atom_site_label
_atom_site_type_symbol
_atom_site_fract_x
_atom_site_fract_y
_atom_site_fract_z
Ag1 Ag 0.500 0.000 0.175
Ag2 Ag 0.000 0.500 0.175
Ag3 Ag 0.500 0.000 0.825
Ag4 Ag 0.500 0.500 0.662
Ag5 Ag 0.500 0.500 0.000
Ag6 Ag 0.500 0.000 0.500
Ag7 Ag 0.000 0.500 0.500
Ag8 Ag 0.000 0.500 0.825
Ag9 Ag 0.500 0.500 0.338
Hg1 Hg 0.000 0.000 0.000
Ga1 Ga 0.000 0.000 0.665
Ga2 Ga 0.000 0.000 0.335
```

***

Density functional theory data (PBE) for Tb2PAu after structural relaxation.

Values from the calculation:
Symmetry: R-3m, No. 166

```
data_Tb2PAu
_space_group_name_H-M_alt 'P 1'
_space_group_IT_number 1
_cell_length_a 4.022
_cell_length_b 4.022
_cell_length_c 7.418
_cell_angle_alpha 74.27
_cell_angle_beta 74.27
_cell_angle_gamma 60.00
loop_
_space_group_symop_operation_xyz
'x,y,z'
loop_
_atom_site_label
_atom_site_type_symbol
_atom_site_fract_x
_atom_site_fract_y
_atom_site_fract_z
P1 P 0.000 0.000 0.000
Tb1 Tb 0.742 0.742 0.774
Tb2 Tb 0.258 0.258 0.226
Au1 Au 0.500 0.500 0.500
```

***

Number 1: Fermi-level density of states 4.30 states/eV per cell, total energy -2.6461 eV per atom, ΔH_f (0 K) 22.0 meV/atom. Number 2: Fermi-level density of states 3.81 states/eV per cell, total energy -5.6063 eV per atom, ΔH_f (0 K) -1119.3 meV/atom.